# 1
# GGA-PBE HfBrN3, optimized geometry
# E_form (uncorrected)   1.5523 eV/atom
# Crystal system   cubic
# Symmetry   Pm-3m
# N(E_F)   0.023 states/eV/cell
data_HfBrN3
_chemical_formula_sum 'Hf1 Br1 N3'
_symmetry_space_group_name_H-M 'P 1'
_symmetry_Int_Tables_number 1
_symmetry_space_group_name_Hall 'P 1'
_cell_length_a 3.8268
_cell_length_b 3.8268
_cell_length_c 3.8268
_cell_angle_alpha 90.00
_cell_angle_beta 90.00
_cell_angle_gamma 90.00
loop_
_atom_site_label
_atom_site_type_symbol
_atom_site_fract_x
_atom_site_fract_y
_atom_site_fract_z
_atom_site_occupancy
Hf1 Hf 0.5000 0.5000 0.5000 1
Br1 Br 0.0000 0.0000 0.0000 1
N1 N 0.0000 0.5000 0.0000 1
N2 N 0.0000 0.0000 0.5000 1
N3 N 0.5000 0.0000 0.0000 1

=====

# 2
# GGA-PBE HfBr2N, optimized geometry
# E_form (uncorrected)   -0.5918 eV/atom
# Polymorph energy (0 for the lowest one)   0.000 eV/atom
# Crystal system   tetragonal
# Symmetry   I-42d
# N(E_F)   4.252 states/eV/cell
data_HfBr2N
_chemical_formula_sum 'Hf2 Br4 N2'
_symmetry_space_group_name_H-M 'P 1'
_symmetry_Int_Tables_number 1
_symmetry_space_group_name_Hall 'P 1'
_cell_length_a 10.1465
_cell_length_b 10.1465
_cell_length_c 7.4581
_cell_angle_alpha 47.14
_cell_angle_beta 47.14
_cell_angle_gamma 90.00
loop_
_atom_site_label
_atom_site_type_symbol
_atom_site_fract_x
_atom_site_fract_y
_atom_site_fract_z
_atom_site_occupancy
Hf1 Hf 0.0000 0.0000 0.0000 1
Hf2 Hf 0.7500 0.2500 0.5000 1
Br1 Br 0.9625 0.1250 0.2500 1
Br2 Br 0.7875 0.6250 0.2500 1
Br3 Br 0.3750 0.0375 0.7500 1
Br4 Br 0.8750 0.2125 0.7500 1
N1 N 0.5000 0.5000 0.0000 1
N2 N 0.2500 0.7500 0.5000 1